(1)
HfZr2S6 | PBE | relaxed

Structure (POSCAR):
```
HfZr2S6
1.0
-1.4077 3.2371 5.0193
-2.1002 -5.0958 2.6975
10.1692 -1.9990 4.1412
S Hf Zr
12 2 4
Cartesian
-1.0518 -0.5573 2.3139
6.5276 -5.1233 6.6128
6.9473 -0.0738 8.0198
2.3439 -1.2328 3.7254
5.6996 -1.8925 5.0919
3.1230 -4.4274 5.2328
3.5384 0.5698 6.6252
-0.2859 -3.7839 3.8382
0.1338 1.2656 5.2451
4.3175 -2.6248 8.1326
-2.4560 -1.3013 5.4029
0.9617 -1.9652 6.7660
3.3307 -1.9288 5.9290
0.0000 0.0000 0.0000
6.7202 -2.5951 7.3093
-0.0588 -1.2625 4.5487
6.7797 -1.3327 2.7609
3.3895 -0.6663 1.3803
```

- E above lowest polymorph: 119 meV/atom
- Mass density: 4.37 g/cm³
- Raw formation energy: -137.09 kJ per mole of atoms


(2)
Cr2ReOs | PBE | relaxed

Structure (POSCAR):
```
Cr2ReOs
1.0
-1.6939 -3.2301 2.1365
0.1863 -2.3971 -3.4765
2.7120 -0.9108 0.7733
Cr Re Os
2 1 1
Cartesian
0.0000 0.0000 0.0000
-0.7538 -2.8136 -0.6700
1.4491 -1.6540 -1.3516
0.5090 -2.0704 1.4549
```

- Uncorrected energy: -42.4 eV for the cell shown
- DOS(E_F): 5.4 states/eV per cell
- Mass density: 15.07 g/cm³